# CsAcCd

A relaxed structure of CsAcCd (PBE-GGA, OQMD via LeMat-Bulk).

```
CsAcCd
1.0
0.000 4.023 4.023
4.023 0.000 4.023
4.023 4.023 0.000
Ac Cd Cs
1 1 1
direct
0.000 0.000 0.000
0.500 0.500 0.500
0.750 0.750 0.750
```

Properties
Volume (Å³/cell): 130.2
ΔE to the lowest computed polymorph (meV per atom): 175
Symmetry: F-43m (216)
Total DFT energy (no corrections) (eV/atom): -1.207